The following is a PBE+U calculation of a relaxed K2Sr2MoO6 crystal, from Alexandria via LeMat-Bulk.

Calculated values
Its total energy is -0.439 Ry per atom.

Cell lengths 6.0297, 6.0297, 6.5573 Å; angles 98.00, 98.00, 118.40 degrees
Fractional coordinates of all 11 atoms:
K 0.1597 0.8403 0.0000
K 0.8403 0.1597 0.0000
Sr 0.3373 0.6627 0.5000
Sr 0.6627 0.3373 0.5000
Mo 0.0000 0.0000 0.5000
O 0.0467 0.3221 0.6737
O 0.2089 0.2089 0.3192
O 0.3221 0.0467 0.6737
O 0.6779 0.9533 0.3263
O 0.7911 0.7911 0.6808
O 0.9533 0.6779 0.3263